Here is Nd2TmSe after structural relaxation from Alexandria. Energies are from GGA-PBE.

volume = 31.7 Å³/atom
total magnetic moment = 0.789 μB/f.u.
ρ = 7.0 Mg/m³
formation energy (no corrections) = -752 meV/atom
N(E_F) = 1.10 states/eV per atom

a = 3.8975 Å, b = 3.8975 Å, c = 9.9115 Å
α = 78.66°, β = 78.66°, γ = 60.00°
Atoms (fractional coordinates):
Tm1 0.5000 0.5000 0.5000
Nd1 0.2664 0.2664 0.2007
Nd2 0.7336 0.7336 0.7993
Se1 0.0000 0.0000 0.0000


Here is Nd4Tm3Se8 after structural relaxation from Alexandria. Energies are from GGA-PBE.

volume = 29.0 Å³/atom
total magnetic moment = 0.000 μB/f.u.
ρ = 6.5 Mg/m³
formation energy (no corrections) = -1610 meV/atom
N(E_F) = 0.50 states/eV per atom

a = 8.0895 Å, b = 8.0895 Å, c = 8.9854 Å
α = 63.25°, β = 63.25°, γ = 60.00°
Atoms (fractional coordinates):
Nd1 0.0000 0.0000 0.0000
Nd2 0.3536 0.3536 0.9393
Nd3 0.5000 0.5000 0.5000
Nd4 0.6464 0.6464 0.0607
Tm1 0.5000 0.0000 0.5000
Tm2 0.0000 0.0000 0.5000
Tm3 0.0000 0.5000 0.5000
Se1 0.2301 0.2301 0.3096
Se2 0.2329 0.7498 0.2675
Se3 0.7498 0.7498 0.2675
Se4 0.7498 0.2329 0.2675
Se5 0.7699 0.7699 0.6904
Se6 0.7671 0.2502 0.7325
Se7 0.2502 0.2502 0.7325
Se8 0.2502 0.7671 0.7325


Here is Nd3Tm4Se8 after structural relaxation from Alexandria. Energies are from GGA-PBE.

volume = 26.2 Å³/atom
total magnetic moment = 0.000 μB/f.u.
ρ = 7.4 Mg/m³
formation energy (no corrections) = -1801 meV/atom
N(E_F) = 0.43 states/eV per atom

a = 8.1883 Å, b = 8.2183 Å, c = 8.2183 Å
α = 90.06°, β = 119.82°, γ = 119.82°
Atoms (fractional coordinates):
Nd1 0.5000 0.5000 0.0000
Nd2 0.5000 0.0000 0.5000
Nd3 0.5000 0.5000 0.5000
Tm1 0.5000 0.0000 0.0000
Tm2 0.0000 0.5000 0.0000
Tm3 0.0000 0.0000 0.0000
Tm4 0.0000 0.0000 0.5000
Se1 0.4948 0.2412 0.2412
Se2 0.0000 0.7518 0.2482
Se3 0.9880 0.2429 0.2429
Se4 0.5000 0.7562 0.2438
Se5 0.5000 0.2438 0.7562
Se6 0.0120 0.7571 0.7571
Se7 0.0000 0.2482 0.7518
Se8 0.5052 0.7588 0.7588


Here is Nd2TmSe4 after structural relaxation from Alexandria. Energies are from GGA-PBE.

volume = 28.0 Å³/atom
total magnetic moment = 0.000 μB/f.u.
ρ = 6.5 Mg/m³
formation energy (no corrections) = -1798 meV/atom
N(E_F) = 0.29 states/eV per atom

a = 3.9966 Å, b = 7.2538 Å, c = 14.0877 Å
α = 90.00°, β = 90.00°, γ = 105.99°
Atoms (fractional coordinates):
Nd1 0.1299 0.2599 0.4279
Nd2 0.8701 0.7401 0.9279
Nd3 0.1299 0.2599 0.0721
Nd4 0.8701 0.7401 0.5721
Tm1 0.6284 0.2568 0.7500
Tm2 0.3716 0.7432 0.2500
Se1 0.7819 0.5638 0.1266
Se2 0.7819 0.5638 0.3734
Se3 0.2181 0.4362 0.8734
Se4 0.2181 0.4362 0.6266
Se5 0.9825 0.9650 0.7500
Se6 0.0175 0.0350 0.2500
Se7 0.5000 0.0000 0.0000
Se8 0.5000 0.0000 0.5000


Here is Nd3TmSe6 after structural relaxation from Alexandria. Energies are from GGA-PBE.

volume = 31.5 Å³/atom
total magnetic moment = 0.000 μB/f.u.
ρ = 5.7 Mg/m³
formation energy (no corrections) = -1863 meV/atom
N(E_F) = 0.00 states/eV per atom

a = 8.5714 Å, b = 8.5714 Å, c = 8.5714 Å
α = 91.22°, β = 91.22°, γ = 91.22°
Atoms (fractional coordinates):
Nd1 0.4293 0.9211 0.7525
Nd2 0.9211 0.7525 0.4293
Nd3 0.2475 0.5707 0.0789
Nd4 0.7525 0.4293 0.9211
Nd5 0.0789 0.2475 0.5707
Nd6 0.5707 0.0789 0.2475
Tm1 0.0000 0.0000 0.0000
Tm2 0.5000 0.5000 0.5000
Se1 0.3086 0.9154 0.0814
Se2 0.0846 0.9186 0.6914
Se3 0.5871 0.8121 0.4593
Se4 0.9186 0.6914 0.0846
Se5 0.4593 0.5871 0.8121
Se6 0.1879 0.5407 0.4129
Se7 0.8121 0.4593 0.5871
Se8 0.5407 0.4129 0.1879
Se9 0.0814 0.3086 0.9154
Se10 0.4129 0.1879 0.5407
Se11 0.9154 0.0814 0.3086
Se12 0.6914 0.0846 0.9186


Here is NdTmSe2 after structural relaxation from Alexandria. Energies are from GGA-PBE.

volume = 25.1 Å³/atom
total magnetic moment = 0.000 μB/f.u.
ρ = 7.8 Mg/m³
formation energy (no corrections) = -1719 meV/atom
N(E_F) = 0.36 states/eV per atom

a = 3.9767 Å, b = 3.9767 Å, c = 7.6774 Å
α = 74.99°, β = 74.99°, γ = 60.00°
Atoms (fractional coordinates):
Nd1 0.6714 0.6714 0.9859
Tm1 0.4952 0.4952 0.5143
Se1 0.0875 0.0875 0.7374
Se2 0.2458 0.2458 0.2625


Q: formation energy (no corrections) of number 1 (Nd2TmSe)?
A: -752 meV/atom